This record from the Alexandria database describes a relaxed B2C crystal. The functional is PBE.

a = 2.6688 Å, b = 5.0306 Å, c = 6.5189 Å
α = 94.64°, β = 90.00°, γ = 90.00°
With the nearest neighbours (Å) after each atom.
Atoms (fractional coordinates):
B 0.5000 0.8207 0.3470  2 C 1.54-1.66
B 0.5000 0.4687 0.0033  2 C 1.55-1.67
B 0.0000 0.6591 0.6074  2 C 1.59, 1 B 1.66
B 0.0000 0.2715 0.5819  2 C 1.71, 1 B 1.87
B 0.0000 0.4100 0.3247  2 C 1.60, 1 B 1.73
B 0.0000 0.0642 0.3031  4 B 1.73-1.85
B 0.0000 0.1064 0.0389  2 C 1.56
B 0.0000 0.5702 0.8466  3 B 1.66-1.78
C 0.5000 0.5368 0.2398  4 B 1.54-1.60
C 0.5000 0.1460 0.9204  1 C 1.53, 3 B 1.56-1.67
C 0.5000 0.1176 0.6842  2 C 1.51-1.53
C 0.5000 0.8287 0.6027  1 C 1.51, 3 B 1.59-1.66

Computed properties:
space-group type = No. 6
total DFT energy (no corrections) = -7.08 eV per atom
formation energy = 442 meV per atom
ΔE to the lowest computed polymorph = 24.75 kJ per mole of atoms
M_tot = 0.000 μB per atom
calculated volume = 7.27 Å³ per atom

=====

This record from the Alexandria database describes a relaxed BaMg2PtRh crystal. The functional is PBE.

a = 4.9029 Å, b = 5.6886 Å, c = 4.9029 Å
α = 90.00°, β = 90.00°, γ = 90.00°
With the nearest neighbours (Å) after each atom.
Atoms (fractional coordinates):
Mg 0.0000 0.0000 0.5000  2 Rh 2.45
Mg 0.5000 0.0000 0.0000  2 Rh 2.45
Rh 0.0000 0.0000 0.0000  4 Mg 2.45
Ba 0.0000 0.5000 0.0000  2 Rh 2.84
Pt 0.5000 0.5000 0.5000  4 Ba 3.47, 8 Mg 3.75

Computed properties:
space-group type = No. 123
total DFT energy (no corrections) = -3.65 eV per atom
formation energy = 55 meV per atom
M_tot = 0.000 μB per atom
calculated volume = 27.35 Å³ per atom

=====

This record from the Alexandria database describes a relaxed La2AlW crystal. The functional is PBE.

a = 11.1896 Å, b = 11.1896 Å, c = 11.1896 Å
α = 16.33°, β = 16.33°, γ = 16.33°
With the nearest neighbours (Å) after each atom.
Atoms (fractional coordinates):
Al 0.7500 0.7500 0.7500  6 Al 3.18, 6 La 3.39
W 0.2500 0.2500 0.2500  6 W 3.18, 6 La 3.24
La 0.9973 0.9973 0.9973  6 La 3.18, 3 W 3.24, 3 Al 3.39
La 0.5027 0.5027 0.5027  6 La 3.18, 3 W 3.24, 3 Al 3.39

Computed properties:
space-group type = No. 166
total DFT energy (no corrections) = -6.02 eV per atom
formation energy = 615 meV per atom
M_tot = 0.000 μB per atom
calculated volume = 24.14 Å³ per atom

=====

This record from the Alexandria database describes a relaxed ZrOs3Au crystal. The functional is PBE.

a = 4.7947 Å, b = 4.7947 Å, c = 4.7947 Å
α = 90.00°, β = 90.00°, γ = 90.00°
With the nearest neighbours (Å) after each atom.
Atoms (fractional coordinates):
Os 0.0000 0.5000 0.0000  2 Au 2.40
Os 0.0000 0.0000 0.5000  2 Au 2.40
Os 0.5000 0.0000 0.0000  2 Au 2.40
Au 0.0000 0.0000 0.0000  6 Os 2.40
Zr 0.5000 0.5000 0.5000  12 Os 3.39

Computed properties:
space-group type = No. 221
total DFT energy (no corrections) = -6.73 eV per atom
formation energy = 2375 meV per atom
ΔE to the lowest computed polymorph = 0.00 kJ per mole of atoms
M_tot = 0.708 μB per atom
calculated volume = 22.05 Å³ per atom

=====

This record from the Alexandria database describes a relaxed SmTh2N4 crystal. The functional is PBE.

a = 6.5330 Å, b = 6.5330 Å, c = 6.5330 Å
α = 108.05°, β = 112.34°, γ = 108.05°
With the nearest neighbours (Å) after each atom.
Atoms (fractional coordinates):
Sm 0.0000 0.0000 0.0000  8 N 2.50-2.73
Sm 0.7500 0.5000 0.2500  8 N 2.50-2.73
Th 0.8750 0.1091 0.4841  6 N 2.40-2.64
Th 0.5159 0.3909 0.6250  6 N 2.40-2.64
Th 0.3750 0.8909 0.7659  6 N 2.40-2.64
Th 0.2341 0.6091 0.1250  6 N 2.40-2.64
N 0.1234 0.8836 0.3818  3 Th 2.40-2.64, 1 Sm 2.50
N 0.6182 0.7415 0.5018  3 Th 2.40-2.64, 1 Sm 2.50
N 0.9898 0.6164 0.7482  3 Th 2.40-2.64, 1 Sm 2.50
N 0.2518 0.2415 0.8682  3 Th 2.40-2.64, 1 Sm 2.50
N 0.6266 0.7585 0.0102  3 Th 2.40-2.64, 1 Sm 2.50
N 0.7602 0.2585 0.8766  3 Th 2.40-2.64, 1 Sm 2.50
N 0.4982 0.1164 0.2398  3 Th 2.40-2.64, 1 Sm 2.50
N 0.1318 0.3836 0.3734  3 Th 2.40-2.64, 1 Sm 2.50

Computed properties:
space-group type = No. 122
total DFT energy (no corrections) = -8.84 eV per atom
M_tot = 0.000 μB per atom
uncorrected formation energy = -1.284 eV/atom
calculated volume = 15.30 Å³ per atom

=====

This record from the Alexandria database describes a relaxed Dy5RuPb4 crystal. The functional is PBE.

a = 6.1677 Å, b = 7.5367 Å, c = 7.5367 Å
α = 80.36°, β = 65.85°, γ = 65.85°
With the nearest neighbours (Å) after each atom.
Atoms (fractional coordinates):
Dy 0.9059 0.3566 0.8638  1 Ru 2.66
Dy 0.2624 0.8638 0.6434  1 Ru 2.66
Dy 0.7697 0.1362 0.3566  1 Ru 2.66
Dy 0.1262 0.6434 0.1362  1 Ru 2.66
Dy 0.4301 0.0000 0.0000  2 Ru 2.97-3.19, 4 Pb 3.30
Ru 0.9478 0.0000 0.0000  5 Dy 2.66-2.97
Pb 0.4496 0.3955 0.7394  6 Dy 3.18-3.30
Pb 0.8451 0.7394 0.6045  6 Dy 3.18-3.30
Pb 0.1890 0.2606 0.3955  6 Dy 3.18-3.30
Pb 0.5845 0.6045 0.2606  6 Dy 3.18-3.30

Computed properties:
space-group type = No. 79
total DFT energy (no corrections) = -4.99 eV per atom
formation energy = -274 meV per atom
M_tot = 0.000 μB per atom
calculated volume = 29.17 Å³ per atom

=====

> Number 1 is which compound?

B2C